(1)
DFT (PBE) results for a relaxed structure of NaLa2Er3Te6.

POSCAR file:
```
NaLa2Er3Te6
1.0
9.747 -2.199 0.000
9.747 2.199 0.000
-2.236 0.000 8.703
Na La Er Te
1 2 3 6
direct
0.000 0.000 0.000 Na
0.331 0.331 0.661 La
0.669 0.669 0.339 La
0.000 0.000 0.500 Er
0.332 0.332 0.173 Er
0.668 0.668 0.827 Er
0.161 0.161 0.593 Te
0.168 0.168 0.069 Te
0.496 0.496 0.256 Te
0.504 0.504 0.744 Te
0.832 0.832 0.931 Te
0.839 0.839 0.407 Te
```

Properties
Total energy in eV/atom: -5.0222
Energy relative to the elements, uncorrected in kJ per mole of atoms: -133.10


(2)
DFT (PBE) results for a relaxed structure of KRbMg14O15.

POSCAR file:
```
KRbMg14O15
1.0
4.201 0.000 0.000
0.000 8.519 0.000
0.000 0.000 9.902
K Rb Mg O
1 1 14 15
direct
0.000 0.000 0.000 K
0.000 0.500 0.555 Rb
0.000 0.000 0.457 Mg
0.000 0.218 0.717 Mg
0.000 0.256 0.243 Mg
0.000 0.500 0.991 Mg
0.000 0.744 0.243 Mg
0.000 0.782 0.717 Mg
0.500 0.000 0.249 Mg
0.500 0.000 0.684 Mg
0.500 0.240 0.958 Mg
0.500 0.264 0.464 Mg
0.500 0.500 0.205 Mg
0.500 0.500 0.773 Mg
0.500 0.736 0.464 Mg
0.500 0.760 0.958 Mg
0.000 0.000 0.248 O
0.000 0.000 0.668 O
0.000 0.236 0.447 O
0.000 0.291 0.903 O
0.000 0.500 0.188 O
0.000 0.709 0.903 O
0.000 0.764 0.447 O
0.500 0.000 0.464 O
0.500 0.000 0.886 O
0.500 0.234 0.177 O
0.500 0.287 0.682 O
0.500 0.500 0.407 O
0.500 0.500 0.969 O
0.500 0.713 0.682 O
0.500 0.766 0.177 O
```

Properties
Total energy in eV/atom: -5.4589
Energy relative to the elements, uncorrected in kJ per mole of atoms: -219.31


(3)
DFT (PBE) results for a relaxed structure of Sr3Ag8Hg.

POSCAR file:
```
Sr3Ag8Hg
1.0
2.930 1.692 9.539
-2.930 1.692 9.539
0.000 -3.383 9.539
Sr Ag Hg
3 8 1
direct
0.000 0.000 0.000 Sr
0.131 0.131 0.131 Sr
0.520 0.520 0.520 Sr
0.072 0.569 0.569 Ag
0.073 0.073 0.566 Ag
0.073 0.566 0.073 Ag
0.320 0.320 0.320 Ag
0.566 0.073 0.073 Ag
0.569 0.072 0.569 Ag
0.569 0.569 0.072 Ag
0.821 0.821 0.821 Ag
0.640 0.640 0.640 Hg
```

Properties
Total energy in eV/atom: -2.5451


(4)
DFT (PBE) results for a relaxed structure of Tb3Pr2Tm6Pb.

POSCAR file:
```
Tb3Pr2Tm6Pb
1.0
3.040 -5.267 0.000
3.040 5.267 0.000
-2.037 0.000 11.515
Tb Pr Tm Pb
3 2 6 1
direct
0.000 0.000 0.000 Tb
0.333 0.667 0.000 Tb
0.667 0.333 0.000 Tb
0.166 0.834 0.500 Pr
0.834 0.166 0.500 Pr
0.090 0.417 0.249 Tm
0.256 0.256 0.752 Tm
0.417 0.090 0.249 Tm
0.583 0.910 0.751 Tm
0.744 0.744 0.248 Tm
0.910 0.583 0.751 Tm
0.500 0.500 0.500 Pb
```

Properties
Total energy in eV/atom: -4.5661


(5)
DFT (PBE) results for a relaxed structure of LaP3Pd.

POSCAR file:
```
LaP3Pd
1.0
5.370 0.000 0.000
0.000 5.370 0.000
0.000 0.000 5.370
La P Pd
1 3 1
direct
0.000 0.000 0.000 La
0.000 0.000 0.500 P
0.000 0.500 0.000 P
0.500 0.000 0.000 P
0.500 0.500 0.500 Pd
```

Properties
Total energy in eV/atom: -4.0515


(6)
DFT (PBE) results for a relaxed structure of CsBa8Pt4.

POSCAR file:
```
CsBa8Pt4
1.0
-8.214 8.214 2.360
8.214 -8.214 2.360
8.214 8.214 -2.360
Cs Ba Pt
1 8 4
direct
0.000 0.000 0.000 Cs
0.040 0.337 0.377 Ba
0.299 0.345 0.644 Ba
0.337 0.960 0.297 Ba
0.345 0.701 0.046 Ba
0.655 0.299 0.954 Ba
0.663 0.040 0.703 Ba
0.701 0.655 0.356 Ba
0.960 0.663 0.623 Ba
0.155 0.671 0.825 Pt
0.329 0.155 0.484 Pt
0.671 0.845 0.516 Pt
0.845 0.329 0.175 Pt
```

Properties
Total energy in eV/atom: -3.6777